Entry i
{"formula": "Tb3Sm5Dy3", "functional": "PBE", "state": "optimized geometry", "sg": "P-62m (189)", "dos_ef_per_ev_cell": 16.632, "magmom_total_mub_per_atom": 0.00, "lattice": [[11.227, 0.000, 0.000], [-5.614, 9.723, 0.000], [0.000, 0.000, 3.447]], "species": ["Tb", "Tb", "Tb", "Sm", "Sm", "Sm", "Sm", "Sm", "Dy", "Dy", "Dy"], "fractional_positions": [[0.000, 0.595, 0.000], [0.405, 0.405, 0.000], [0.595, 0.000, 0.000], [0.000, 0.340, 0.500], [0.333, 0.667, 0.500], [0.340, 0.000, 0.500], [0.660, 0.660, 0.500], [0.667, 0.333, 0.500], [0.000, 0.840, 0.500], [0.160, 0.160, 0.500], [0.840, 0.000, 0.500]]}

---

Entry ii
{"formula": "Tb3Sm5Dy3", "functional": "PBE", "state": "optimized geometry", "sg": "P-62m (189)", "dos_ef_per_ev_cell": 19.070, "magmom_total_mub_per_atom": 0.01, "lattice": [[9.729, 0.000, 0.000], [-4.865, 8.426, 0.000], [0.000, 0.000, 5.464]], "species": ["Tb", "Tb", "Tb", "Sm", "Sm", "Sm", "Sm", "Sm", "Dy", "Dy", "Dy"], "fractional_positions": [[0.000, 0.443, 0.000], [0.443, 0.000, 0.000], [0.557, 0.557, 0.000], [0.000, 0.264, 0.500], [0.264, 0.000, 0.500], [0.333, 0.667, 0.500], [0.667, 0.333, 0.500], [0.736, 0.736, 0.500], [0.000, 0.632, 0.500], [0.368, 0.368, 0.500], [0.632, 0.000, 0.500]]}

---

Question: which arrangement is favored energetically? Ranking from most to least stable: entry i, entry ii.